The following is a PBE-GGA calculation of a relaxed PaGaNiH crystal, from the Alexandria database.

Computed properties:
For the theoretical density, the calculation gives 10.63 Mg/m³. The crystal system is hexagonal. As for the total moment: 0.000 μB/atom. The raw total energy is -5.893 eV per atom.

Cell: 4.301 4.301 3.514 Å, 90.00 90.00 120.00°
Fractional coordinates of all 4 atoms:
Pa1 0.000 0.000 0.000
Ga1 0.333 0.667 0.500
Ni1 0.667 0.333 0.500
H1 0.667 0.333 0.000